# Ti6GaRu5 (GGA-PBE, optimized geometry)
# Formation energy = -0.669 eV per atom
data_Ti6GaRu5
_chemical_formula_sum 'Ti6 Ga1 Ru5'
_symmetry_space_group_name_H-M 'P 1'
_symmetry_Int_Tables_number 1
_symmetry_space_group_name_Hall 'P 1'
_cell_length_a 4.370
_cell_length_b 6.212
_cell_length_c 7.580
_cell_angle_alpha 114.19
_cell_angle_beta 106.76
_cell_angle_gamma 90.00
loop_
_atom_site_label
_atom_site_fract_x
_atom_site_fract_y
_atom_site_fract_z
Ru1 0.000 0.500 0.000
Ru2 0.335 0.835 0.671
Ru3 0.665 0.165 0.329
Ru4 0.668 0.668 0.335
Ru5 0.332 0.332 0.665
Ti1 0.500 0.743 0.000
Ti2 0.169 0.421 0.338
Ti3 0.169 0.917 0.338
Ti4 0.831 0.083 0.662
Ti5 0.831 0.579 0.662
Ti6 0.500 0.257 0.000
Ga1 0.000 0.000 0.000

---

# MgNiAuSe (GGA-PBE, optimized geometry)
# Energy relative to the elements, uncorrected = -0.97 eV/f.u.
# Energy relative to the lowest polymorph listed for this composition = 0.108 eV per atom
data_MgNiAuSe
_chemical_formula_sum 'Mg1 Ni1 Au1 Se1'
_symmetry_space_group_name_H-M 'P 1'
_symmetry_Int_Tables_number 1
_symmetry_space_group_name_Hall 'P 1'
_cell_length_a 3.742
_cell_length_b 3.742
_cell_length_c 6.305
_cell_angle_alpha 90.00
_cell_angle_beta 90.00
_cell_angle_gamma 120.00
loop_
_atom_site_label
_atom_site_fract_x
_atom_site_fract_y
_atom_site_fract_z
Se1 0.333 0.667 0.859
Mg1 0.667 0.333 0.167
Au1 0.333 0.667 0.427
Ni1 0.667 0.333 0.719

---

# Pr2Si7Au12 (GGA-PBE, optimized geometry)
# Energy relative to the elements, uncorrected = -5.50 eV/f.u.
data_Pr2Si7Au12
_chemical_formula_sum 'Pr2 Si7 Au12'
_symmetry_space_group_name_H-M 'P 1'
_symmetry_Int_Tables_number 1
_symmetry_space_group_name_Hall 'P 1'
_cell_length_a 4.439
_cell_length_b 10.119
_cell_length_c 10.119
_cell_angle_alpha 120.00
_cell_angle_beta 90.00
_cell_angle_gamma 90.00
loop_
_atom_site_label
_atom_site_fract_x
_atom_site_fract_y
_atom_site_fract_z
Au1 0.786 0.877 0.737
Au2 0.753 0.068 0.454
Au3 0.247 0.614 0.068
Au4 0.247 0.454 0.386
Au5 0.247 0.932 0.546
Au6 0.214 0.737 0.860
Au7 0.753 0.386 0.932
Au8 0.786 0.860 0.123
Au9 0.214 0.140 0.877
Au10 0.753 0.546 0.614
Au11 0.786 0.263 0.140
Au12 0.214 0.123 0.263
Si1 0.500 0.000 0.000
Si2 0.280 0.396 0.113
Si3 0.280 0.716 0.604
Si4 0.280 0.887 0.284
Si5 0.720 0.604 0.887
Si6 0.720 0.284 0.396
Si7 0.720 0.113 0.716
Pr1 0.241 0.333 0.667
Pr2 0.759 0.667 0.333

---

# CeGe3Pd (GGA-PBE, optimized geometry)
# Formation energy = -0.588 eV per atom
data_CeGe3Pd
_chemical_formula_sum 'Ce1 Ge3 Pd1'
_symmetry_space_group_name_H-M 'P 1'
_symmetry_Int_Tables_number 1
_symmetry_space_group_name_Hall 'P 1'
_cell_length_a 4.530
_cell_length_b 4.530
_cell_length_c 5.879
_cell_angle_alpha 112.88
_cell_angle_beta 112.88
_cell_angle_gamma 90.04
loop_
_atom_site_label
_atom_site_fract_x
_atom_site_fract_y
_atom_site_fract_z
Ce1 0.583 0.583 0.168
Pd1 0.237 0.237 0.475
Ge1 0.846 0.346 0.691
Ge2 0.346 0.846 0.691
Ge3 0.990 0.990 0.977

---

# Ac3MgHg2 (GGA-PBE, optimized geometry)
# Formation energy = -0.342 eV per atom
# Energy relative to the lowest polymorph listed for this composition = 0.000 eV per atom
data_Ac3MgHg2
_chemical_formula_sum 'Ac3 Mg1 Hg2'
_symmetry_space_group_name_H-M 'P 1'
_symmetry_Int_Tables_number 1
_symmetry_space_group_name_Hall 'P 1'
_cell_length_a 4.053
_cell_length_b 5.725
_cell_length_c 9.133
_cell_angle_alpha 108.27
_cell_angle_beta 90.00
_cell_angle_gamma 90.00
loop_
_atom_site_label
_atom_site_fract_x
_atom_site_fract_y
_atom_site_fract_z
Hg1 0.000 0.342 0.684
Hg2 0.000 0.658 0.316
Ac1 0.500 0.170 0.339
Ac2 0.500 0.830 0.661
Ac3 0.500 0.500 0.000
Mg1 0.000 0.000 0.000

---

# FeAs2Br (GGA-PBE, optimized geometry)
# Energy relative to the elements, uncorrected = 0.06 eV/f.u.
# Energy relative to the lowest polymorph listed for this composition = 0.044 eV per atom
data_FeAs2Br
_chemical_formula_sum 'Fe1 As2 Br1'
_symmetry_space_group_name_H-M 'P 1'
_symmetry_Int_Tables_number 1
_symmetry_space_group_name_Hall 'P 1'
_cell_length_a 3.201
_cell_length_b 5.443
_cell_length_c 5.443
_cell_angle_alpha 52.52
_cell_angle_beta 90.00
_cell_angle_gamma 90.00
loop_
_atom_site_label
_atom_site_fract_x
_atom_site_fract_y
_atom_site_fract_z
Br1 0.500 0.250 0.250
Fe1 0.500 0.750 0.750
As1 0.000 0.938 0.938
As2 0.000 0.562 0.562

---

# CdGaNiRh2 (GGA-PBE, optimized geometry)
# Formation energy = 0.535 eV per atom
data_CdGaNiRh2
_chemical_formula_sum 'Cd1 Ga1 Ni1 Rh2'
_symmetry_space_group_name_H-M 'P 1'
_symmetry_Int_Tables_number 1
_symmetry_space_group_name_Hall 'P 1'
_cell_length_a 4.591
_cell_length_b 4.336
_cell_length_c 4.591
_cell_angle_alpha 90.00
_cell_angle_beta 90.00
_cell_angle_gamma 90.00
loop_
_atom_site_label
_atom_site_fract_x
_atom_site_fract_y
_atom_site_fract_z
Ga1 0.000 0.500 0.000
Rh1 0.000 0.000 0.500
Rh2 0.500 0.000 0.000
Cd1 0.500 0.500 0.500
Ni1 0.000 0.000 0.000

---

# Pr2MgCd4 (GGA-PBE, optimized geometry)
# Formation energy = -0.157 eV per atom
# Energy relative to the lowest polymorph listed for this composition = 0.000 eV per atom
data_Pr2MgCd4
_chemical_formula_sum 'Pr2 Mg1 Cd4'
_symmetry_space_group_name_H-M 'P 1'
_symmetry_Int_Tables_number 1
_symmetry_space_group_name_Hall 'P 1'
_cell_length_a 5.201
_cell_length_b 5.201
_cell_length_c 9.013
_cell_angle_alpha 73.23
_cell_angle_beta 73.23
_cell_angle_gamma 60.00
loop_
_atom_site_label
_atom_site_fract_x
_atom_site_fract_y
_atom_site_fract_z
Pr1 0.252 0.252 0.243
Pr2 0.748 0.748 0.757
Mg1 0.000 0.000 0.000
Cd1 0.623 0.623 0.132
Cd2 0.873 0.873 0.380
Cd3 0.377 0.377 0.868
Cd4 0.127 0.127 0.620